# 1
The following is a PBE calculation of a geometry-optimized Tb2Sm9Er structure, from Alexandria via LeMat-Bulk.

```
Tb2Sm9Er
1.0
-2.3377 -1.8815 -4.1221
-3.3235 -2.4408 2.9989
-9.2378 12.1831 -0.3220
Sm Er Tb
9 1 2
direct
0.5000 0.5000 0.0000
0.0000 0.5000 0.1660
0.0000 0.5000 0.5000
0.5000 0.0000 0.8340
0.5000 0.5000 0.6671
0.0000 0.5000 0.8340
0.5000 0.0000 0.5000
0.5000 0.0000 0.1660
0.5000 0.5000 0.3329
0.0000 0.0000 0.0000
0.0000 0.0000 0.3329
0.0000 0.0000 0.6671
```

- M_tot: 0.00 Bohr magnetons per cell
- Energy relative to the elements: 18 meV per atom

---

# 2
The following is a PBE calculation of a geometry-optimized TbSm6Er structure, from Alexandria via LeMat-Bulk.

```
TbSm6Er
1.0
-3.4037 2.8713 4.3681
1.2235 -5.8286 1.8549
7.1342 3.7710 0.0811
Sm Tb Er
6 1 1
direct
0.3761 0.8760 0.7520
0.8760 0.3761 0.7519
0.7503 0.7502 0.5003
0.2497 0.2498 0.4997
0.6239 0.1240 0.2480
0.1240 0.6239 0.2481
0.5000 0.5000 0.0000
0.0000 0.0000 0.0000
```

- M_tot: 0.00 Bohr magnetons per cell
- Energy relative to the elements: 17 meV per atom

---

# 3
The following is a PBE calculation of a geometry-optimized Tb3Sm2Er3 structure, from Alexandria via LeMat-Bulk.

```
Tb3Sm2Er3
1.0
5.0306 0.0000 0.0000
0.0000 5.0315 0.0011
-2.5153 -2.5136 10.0474
Tb Sm Er
3 2 3
direct
0.6235 0.6235 0.2470
0.5000 0.0000 0.0000
0.3765 0.3765 0.7530
0.2501 0.7500 0.5002
0.7499 0.2500 0.4998
0.8762 0.8761 0.7524
0.1238 0.1239 0.2476
0.0000 0.5000 0.0000
```

- M_tot: 0.00 Bohr magnetons per cell
- Energy relative to the elements: 20 meV per atom

---

# 4
The following is a PBE calculation of a geometry-optimized TbSm3Er6 structure, from Alexandria via LeMat-Bulk.

```
TbSm3Er6
1.0
6.2051 0.0000 0.0000
0.0000 10.8091 -1.5867
0.0000 -3.9588 10.1825
Er Sm Tb
12 6 2
direct
0.0368 0.3829 0.2881
0.3672 0.0412 0.4623
0.5367 0.2881 0.3829
0.9080 0.0457 0.9543
0.4080 0.9543 0.0457
0.1410 0.7194 0.2806
0.3672 0.5377 0.9588
0.8672 0.9588 0.5377
0.8672 0.4623 0.0412
0.6410 0.2806 0.7194
0.0368 0.7119 0.6171
0.5367 0.6171 0.7119
0.0670 0.3908 0.6092
0.4595 0.9383 0.7178
0.9595 0.0617 0.2822
0.9595 0.7178 0.9383
0.4595 0.2822 0.0617
0.5670 0.6092 0.3908
0.6426 0.7948 0.2052
0.1426 0.2052 0.7948
```

- M_tot: 0.00 Bohr magnetons per cell
- Energy above the most stable polymorph in this dataset: 0 meV per atom
- Energy relative to the elements: 150 meV per atom

---

# 5
The following is a PBE calculation of a geometry-optimized Tb2Sm5Er5 structure, from Alexandria via LeMat-Bulk.

```
Tb2Sm5Er5
1.0
-2.0117 -4.4961 1.0386
0.2763 -4.4643 -6.5915
8.5200 -6.4293 0.8694
Tb Er Sm
2 5 5
direct
0.9168 0.4176 0.7487
0.0832 0.5824 0.2513
0.1680 0.1649 0.4991
0.8320 0.8351 0.5009
0.7495 0.2496 0.2515
0.2505 0.7504 0.7485
0.0000 0.0000 0.0000
0.4157 0.9180 0.2507
0.5843 0.0820 0.7493
0.3341 0.3326 0.9992
0.5000 0.5000 0.5000
0.6659 0.6674 0.0008
```

- M_tot: 0.00 Bohr magnetons per cell
- Energy relative to the elements: 19 meV per atom

---

# 6
The following is a PBE calculation of a geometry-optimized Tb6SmEr12 structure, from Alexandria via LeMat-Bulk.

```
Tb6SmEr12
1.0
-2.2473 -5.4317 6.1043
0.1999 -6.5202 -5.4095
8.1070 -1.6053 1.8748
Er Tb Sm
12 6 1
direct
0.4556 0.5632 0.2279
0.9909 0.7869 0.6465
0.3535 0.0091 0.2131
0.5632 0.2279 0.4556
0.7869 0.6465 0.9909
0.5444 0.4368 0.7721
0.4368 0.7721 0.5444
0.6465 0.9909 0.7869
0.2131 0.3535 0.0091
0.0091 0.2131 0.3535
0.7721 0.5444 0.4368
0.2279 0.4556 0.5632
0.3145 0.7442 0.9100
0.6855 0.2558 0.0900
0.2558 0.0900 0.6855
0.9100 0.3145 0.7442
0.0900 0.6855 0.2558
0.7442 0.9100 0.3145
0.0000 0.0000 0.0000
```

- M_tot: 0.00 Bohr magnetons per cell
- Energy relative to the elements: 160 meV per atom

---

| no. | energy (eV per atom) |
| --- | --- |
| 1 | -4.67 |
| 2 | -4.67 |
| 3 | -4.61 |
| 4 | -4.47 |
| 5 | -4.62 |
| 6 | -4.43 |